[1]
The following is a DFT calculation (PBE-GGA) of a relaxed structure of Na3HgBr.

Structure (POSCAR):
```
Na3HgBr
1.0
5.618 0.000 0.000
0.000 5.618 0.000
0.000 0.000 5.618
Na Hg Br
3 1 1
Cartesian
0.000 0.000 2.809
0.000 2.809 0.000
2.809 0.000 0.000
2.809 2.809 2.809
0.000 0.000 0.000
```

Computed properties:
The calculation puts the spin magnetization at 0.0 Bohr magnetons per cell. For the density of states at the Fermi level, the calculation gives 0.552 states/eV per atom. As for the volume: 35.46 A^3/atom. Its uncorrected formation energy is -240.1 kJ/mol of formula units. Its uncorrected energy is -1.68 eV per atom.

=====

[2]
The following is a DFT calculation (PBE-GGA) of a relaxed structure of NaHgBr.

Structure (POSCAR):
```
NaHgBr
1.0
4.603 0.000 0.000
-2.301 3.986 0.000
0.000 0.000 5.983
Na Hg Br
1 1 1
Cartesian
0.000 0.000 0.000
2.301 1.329 2.436
0.000 2.657 5.078
```

Computed properties:
The calculation puts the spin magnetization at 0.0 Bohr magnetons per cell. For the density of states at the Fermi level, the calculation gives 0.000 states/eV per atom. As for the volume: 36.59 A^3/atom. Its uncorrected formation energy is -258.1 kJ/mol of formula units. Its uncorrected energy is -1.99 eV per atom.

=====

[3]
The following is a DFT calculation (PBE-GGA) of a relaxed structure of NaHg2Br.

Structure (POSCAR):
```
NaHg2Br
1.0
2.118 1.223 9.732
-2.118 1.223 9.732
0.000 -2.446 9.732
Na Hg Br
1 2 1
Cartesian
0.000 0.000 0.000
0.000 0.000 2.823
0.000 0.000 26.372
0.000 0.000 14.598
```

Computed properties:
The calculation puts the spin magnetization at 0.0 Bohr magnetons per cell. As for the volume: 37.82 A^3/atom. Its uncorrected formation energy is -112.0 kJ/mol of formula units. Its uncorrected energy is -1.19 eV per atom.